The following is a DFT calculation (PBE) of a relaxed SnN2ClF crystal.

a b c (Å): 3.758 3.758 5.027
angles (deg): 90.00 90.00 90.00
Atoms (fractional coordinates):
F1 0.000 0.000 0.500
N1 0.000 0.500 0.000
Cl1 0.000 0.000 0.000
Sn1 0.500 0.500 0.500
N2 0.500 0.000 0.000

Calculated values
SG: No. 123

=====

The following is a DFT calculation (PBE) of a relaxed TeN2ClF crystal.

a b c (Å): 4.285 4.285 4.315
angles (deg): 90.00 90.00 90.00
Atoms (fractional coordinates):
Te1 0.000 0.000 0.000
N1 0.500 0.000 0.000
N2 0.000 0.500 0.000
F1 0.000 0.000 0.500
Cl1 0.500 0.500 0.500

Calculated values
SG: No. 123

=====

The following is a DFT calculation (PBE) of a relaxed Te2NClF crystal.

a b c (Å): 4.951 4.951 4.054
angles (deg): 90.00 90.00 90.00
Atoms (fractional coordinates):
F1 0.000 0.000 0.000
Te1 0.000 0.500 0.000
Te2 0.500 0.000 0.000
Cl1 0.500 0.500 0.500
N1 0.000 0.000 0.500

Calculated values
SG: No. 123

=====

The following is a DFT calculation (PBE) of a relaxed Te2NClF crystal.

a b c (Å): 5.564 5.564 3.422
angles (deg): 90.00 90.00 90.00
Atoms (fractional coordinates):
N1 0.000 0.000 0.500
Te1 0.000 0.500 0.000
F1 0.500 0.500 0.500
Te2 0.500 0.000 0.000
Cl1 0.000 0.000 0.000

Calculated values
SG: No. 123

=====

The following is a DFT calculation (PBE) of a relaxed TeNClF2 crystal.

a b c (Å): 4.163 4.163 4.464
angles (deg): 90.00 90.00 90.00
Atoms (fractional coordinates):
Cl1 0.000 0.000 0.000
N1 0.000 0.000 0.500
Te1 0.500 0.500 0.500
F1 0.000 0.500 0.000
F2 0.500 0.000 0.000

Calculated values
SG: No. 123

=====

The following is a DFT calculation (PBE) of a relaxed TeN2ClF crystal.

a b c (Å): 4.916 4.916 4.268
angles (deg): 90.00 90.00 90.00
Atoms (fractional coordinates):
Cl1 0.500 0.500 0.500
N1 0.500 0.000 0.000
Te1 0.000 0.000 0.500
F1 0.000 0.000 0.000
N2 0.000 0.500 0.000

Calculated values
SG: No. 123

=====

no.,total moment (μB per cell),ΔE_f (raw) (meV/atom),total energy (eV per formula unit)
1,1.09,1276,-17.99
2,3.34,1025,-18.39
3,0.14,1189,-12.38
4,0.00,1230,-12.18
5,1.07,846,-12.82
6,4.39,1845,-14.28